1.
A relaxed Sc6Pt2C crystal. Source: Alexandria via LeMat-Bulk, functional PBE.

Cell: 6.2255 6.4532 8.7719 Å, 90.00 90.49 90.00°
Closest atoms and distances in Å follow each position.
Atoms (fractional coordinates):
Sc 0.9131 0.9767 0.2539  1 C 2.23
Sc 0.3092 0.7927 0.0473  1 C 2.27
Sc 0.8092 0.7073 0.5473  1 C 2.27
Sc 0.7037 0.1903 0.5448  1 C 2.25
Sc 0.2037 0.3097 0.0448  1 C 2.25
Sc 0.5869 0.4767 0.2461  1 C 2.23
Sc 0.6908 0.2073 0.9527  1 C 2.27
Sc 0.4131 0.5233 0.7539  1 C 2.23
Sc 0.7963 0.6903 0.9552  1 C 2.25
Sc 0.2963 0.8097 0.4552  1 C 2.25
Sc 0.1908 0.2927 0.4527  1 C 2.27
Sc 0.0869 0.0233 0.7461  1 C 2.23
Pt 0.9832 0.4367 0.7524  7 Sc 2.69-3.01
Pt 0.4832 0.0633 0.2524  7 Sc 2.69-3.01
Pt 0.0168 0.5633 0.2476  7 Sc 2.69-3.01
Pt 0.5168 0.9367 0.7476  7 Sc 2.69-3.01
C 0.5000 0.5000 0.0000  6 Sc 2.23-2.27
C 0.0000 0.0000 0.5000  6 Sc 2.23-2.27

* raw total energy: -7.380 eV per atom
* space group: P2_1/c (14)

2.
A relaxed Pm3BeGe4 crystal. Source: Alexandria via LeMat-Bulk, functional PBE.

Cell: 4.5032 5.7685 8.2478 Å, 110.47 105.84 90.00°
Closest atoms and distances in Å follow each position.
Atoms (fractional coordinates):
Ge 0.3821 0.1611 0.7643  1 Be 2.37, 1 Ge 2.55
Ge 0.6179 0.3968 0.2357  1 Be 2.37, 1 Ge 2.55
Ge 0.3821 0.6032 0.7643  1 Be 2.37, 1 Ge 2.55
Ge 0.6179 0.8389 0.2357  1 Be 2.37, 1 Ge 2.55
Pm 0.1925 0.1924 0.3849  6 Ge 2.98-3.08
Pm 0.0000 0.5000 0.0000  8 Ge 3.12
Pm 0.8075 0.8076 0.6151  6 Ge 2.98-3.08
Be 0.5000 0.0000 0.0000  4 Ge 2.37

* raw total energy: -5.086 eV per atom
* space group: Immm (71)

3.
A relaxed PtC2Cl2 crystal. Source: Alexandria via LeMat-Bulk, functional PBE.

Cell: 5.8961 5.8961 4.4458 Å, 90.00 90.00 90.00°
Closest atoms and distances in Å follow each position.
Atoms (fractional coordinates):
Pt 0.5000 0.5000 0.0000  4 C 2.09
Pt 0.0000 0.0000 0.0000  4 C 2.09
C 0.7692 0.2692 0.0000  2 Pt 2.09, 2 Cl 2.26
C 0.7308 0.7692 0.0000  2 Pt 2.09, 2 Cl 2.26
C 0.2692 0.2308 0.0000  2 Pt 2.09, 2 Cl 2.26
C 0.2308 0.7308 0.0000  2 Pt 2.09, 2 Cl 2.26
Cl 0.6841 0.8159 0.5000  2 C 2.26
Cl 0.8159 0.3159 0.5000  2 C 2.26
Cl 0.1841 0.6841 0.5000  2 C 2.26
Cl 0.3159 0.1841 0.5000  2 C 2.26

* space group: P4/mbm (127)
* formation energy from raw total energies: 1.603 eV per atom
* E above lowest polymorph: 440.7 meV/atom

4.
A relaxed Ba2TlW crystal. Source: Alexandria via LeMat-Bulk, functional PBE.

Cell: 11.3769 11.3769 11.3769 Å, 19.20 19.20 19.20°
Closest atoms and distances in Å follow each position.
Atoms (fractional coordinates):
Ba 0.0214 0.0214 0.0214  3 W 3.27
Ba 0.2343 0.2343 0.2343  3 Tl 3.56, 6 Ba 3.80
Tl 0.4839 0.4839 0.4839  3 W 2.90
W 0.7604 0.7604 0.7604  3 Tl 2.90

* space group: R3m (160)
* E above lowest polymorph: 267.8 meV/atom

What are the DOS at the Fermi energy values for these records? In order: 0.9170, 0.3176, 0.4852, 0.8400 states/eV/atom.